[1]
Compound: SrLiMnSi2
Source: Alexandria
Functional: GGA-PBE
Structure: optimized geometry

The space group is P4/mmm (No. 123) and the conventional cell measures 5.622, 5.622 and 5.587 Å, with angles of 90.00, 90.00 and 90.00 degrees. Symmetry generates all atoms from Sr at (0.000, 0.000, 0.000), Li at (0.500, 0.500, 0.500), Mn at (0.000, 0.000, 0.500) and Si at (0.000, 0.500, 0.000).

The calculation puts the density of states at the Fermi level at 5.11 states/eV per cell. The calculation puts the density at 1934 kg/m³. The calculation puts the energy relative to the elements, uncorrected at 1.52 eV per atom. The total magnetization is 4.09 μB per cell.

---

[2]
Compound: LiThMnSi2
Source: Alexandria
Functional: GGA-PBE
Structure: optimized geometry

The space group is I-4m2 (No. 119) and the conventional cell measures 4.109, 4.109 and 10.472 Å, with angles of 90.00, 90.00 and 90.00 degrees. Symmetry generates all atoms from Li at (0.000, 0.000, 0.000), Th at (0.000, 0.500, 0.250), Mn at (0.000, 0.000, 0.500) and Si at (0.000, 0.500, 0.633).

The calculation puts the density of states at the Fermi level at 5.20 states/eV per cell. The calculation puts the density at 6577 kg/m³. The calculation puts the energy relative to the elements, uncorrected at -0.50 eV per atom. The total magnetization is 6.47 μB per cell.